# MnTcSe2 GGA-PBE relaxed
# Theoretical density, Mg/m³: 8.27
# E_form (uncorrected), eV per atom: 0.109
# Distance to the lowest polymorph of the same formula, eV/f.u.: 1.64
# Crystal system: tetragonal
# Total magnetic moment, μB per formula unit: 2.97
data_MnTcSe2
_chemical_formula_sum 'Mn1 Tc1 Se2'
_space_group_name_H-M_alt 'P 4/m m m'
_space_group_IT_number 123
_space_group_name_Hall '-P 4 2'
_cell_length_a 3.136
_cell_length_b 3.136
_cell_length_c 6.348
_cell_angle_alpha 90.00
_cell_angle_beta 90.00
_cell_angle_gamma 90.00
loop_
_atom_site_label
_atom_site_type_symbol
_atom_site_fract_x
_atom_site_fract_y
_atom_site_fract_z
_atom_site_occupancy
Mn1 Mn 0.000 0.000 0.000 1
Tc1 Tc 0.000 0.000 0.500 1
Se1 Se 0.500 0.500 0.253 1

---

# YCdN2O GGA-PBE relaxed
# Theoretical density, Mg/m³: 5.83
# E_form (uncorrected), eV per atom: 0.315
# Crystal system: tetragonal
# Total magnetic moment, μB per formula unit: 0.00
data_YCdN2O
_chemical_formula_sum 'Y1 Cd1 N2 O1'
_space_group_name_H-M_alt 'P 4/m m m'
_space_group_IT_number 123
_space_group_name_Hall '-P 4 2'
_cell_length_a 4.108
_cell_length_b 4.108
_cell_length_c 4.143
_cell_angle_alpha 90.00
_cell_angle_beta 90.00
_cell_angle_gamma 90.00
loop_
_atom_site_label
_atom_site_type_symbol
_atom_site_fract_x
_atom_site_fract_y
_atom_site_fract_z
_atom_site_occupancy
Y1 Y 0.000 0.000 0.000 1
Cd1 Cd 0.500 0.500 0.500 1
N1 N 0.000 0.500 0.500 1
O1 O 0.500 0.500 0.000 1

---

# Be2ReP GGA-PBE relaxed
# Theoretical density, Mg/m³: 7.92
# Distance to the lowest polymorph of the same formula, eV/f.u.: 1.67
# DFT formation energy, eV/f.u.: 1.069
# Crystal system: trigonal
# Total magnetic moment, μB per formula unit: 0.00
data_Be2ReP
_chemical_formula_sum 'Be6 Re3 P3'
_space_group_name_H-M_alt 'R 3 m'
_space_group_IT_number 160
_space_group_name_Hall 'R 3 -2"'
_cell_length_a 2.8089
_cell_length_b 2.8089
_cell_length_c 21.6601
_cell_angle_alpha 90.00
_cell_angle_beta 90.00
_cell_angle_gamma 120.00
loop_
_atom_site_label
_atom_site_type_symbol
_atom_site_fract_x
_atom_site_fract_y
_atom_site_fract_z
_atom_site_occupancy
Be1 Be 0.0000 0.0000 0.0000 1
Be2 Be 0.0000 0.0000 0.2546 1
Re1 Re 0.0000 0.0000 0.4975 1
P1 P 0.0000 0.0000 0.7492 1

---

DOS at the Fermi energy: 3.730, 3.511, 5.313 (states/eV per cell)